Density functional theory data (GGA-PBE) for VRu2Se after structural relaxation.

Output
Formation energy from raw total energies, meV/atom: 443
Energy, eV per atom: -7.346
N(E_F), states/eV/f.u.: 1.72
Crystal system: tetragonal

Lattice parameters (Å, degrees): 5.342 5.342 11.231 90.00 90.00 90.00
Space group I-42d (No. 122)
Symmetry-distinct sites (fractional):
V  0.000  0.000  0.000
Ru  0.238  0.250  0.125
Se  0.000  0.000  0.500